Record 1
VASP calculation (PBE) on ScBP2C after structural relaxation.

Output
Polymorph energy (0 for the lowest one): 19 meV/atom
Total moment: 0.000 μB/atom
DFT formation energy: -1.122 eV per formula unit

Lattice parameters (Å, degrees): 4.085 3.779 5.301 90.00 112.50 90.00
Fractional coordinates of all 5 atoms:
1 Sc 0.246 0.000 0.967
2 P 0.700 0.500 0.921
3 P 0.414 0.500 0.360
4 C 0.253 0.500 0.640
5 B 0.887 0.500 0.629

Record 2
VASP calculation (PBE) on Pr2GaGe after structural relaxation.

Output
Total moment: 0.000 μB/atom
DFT formation energy: -2.989 eV per formula unit

Lattice parameters (Å, degrees): 4.131 6.112 9.022 111.62 90.00 90.00
Fractional coordinates of all 8 atoms:
1 Pr 0.750 0.221 0.430
2 Pr 0.250 0.779 0.570
3 Pr 0.250 0.783 0.070
4 Pr 0.750 0.217 0.930
5 Ga 0.750 0.647 0.286
6 Ga 0.250 0.353 0.714
7 Ge 0.250 0.352 0.212
8 Ge 0.750 0.648 0.788